Record 1
The following is a DFT calculation (PBE) of a relaxed NaCuPdSe crystal.

## Properties
* raw formation energy: -0.230 eV/atom

```
data_NaCuPdSe
_chemical_formula_sum 'Na2 Cu2 Pd2 Se2'
_symmetry_space_group_name_H-M 'P 4/n m m'
_symmetry_Int_Tables_number 129
_cell_length_a 3.7584
_cell_length_b 3.7584
_cell_length_c 11.3100
_cell_angle_alpha 90.00
_cell_angle_beta 90.00
_cell_angle_gamma 90.00
loop_
_symmetry_equiv_pos_as_xyz
'x,y,z'
'-x,-y,-z'
'-y+1/2,x,z'
'y+1/2,-x,-z'
'-x+1/2,-y+1/2,z'
'x+1/2,y+1/2,-z'
'y,-x+1/2,z'
'-y,x+1/2,-z'
'x+1/2,-y,-z'
'-x+1/2,y,z'
'-y,-x,-z'
'y,x,z'
'-x,y+1/2,-z'
'x,-y+1/2,z'
'y+1/2,x+1/2,-z'
'-y+1/2,-x+1/2,z'
loop_
_atom_site_label
_atom_site_type_symbol
_atom_site_fract_x
_atom_site_fract_y
_atom_site_fract_z
Na1 Na 0.2500 0.2500 0.2203
Cu1 Cu 0.2500 0.7500 0.5000
Pd1 Pd 0.2500 0.7500 0.0000
Se1 Se 0.2500 0.2500 0.6428
```

***

Record 2
The following is a DFT calculation (PBE) of a relaxed Ce3PaAl8 crystal.

```
data_Ce3PaAl8
_chemical_formula_sum 'Ce3 Pa1 Al8'
_symmetry_space_group_name_H-M 'P 3 m 1'
_symmetry_Int_Tables_number 156
_symmetry_space_group_name_Hall 'P 3 -2"'
_cell_length_a 5.6363
_cell_length_b 5.6363
_cell_length_c 8.9070
_cell_angle_alpha 90.00
_cell_angle_beta 90.00
_cell_angle_gamma 120.00
loop_
_atom_site_label
_atom_site_type_symbol
_atom_site_fract_x
_atom_site_fract_y
_atom_site_fract_z
Ce1 Ce 0.0000 0.0000 0.0000
Ce2 Ce 0.0000 0.0000 0.3400
Ce3 Ce 0.3333 0.6667 0.8285
Pa1 Pa 0.3333 0.6667 0.5058
Al1 Al 0.0119 0.5060 0.1721
Al2 Al 0.3217 0.1608 0.6671
Al3 Al 0.6667 0.3333 0.4208
Al4 Al 0.6667 0.3333 0.9196
```

***

Record 3
The following is a DFT calculation (PBE) of a relaxed TaMo2Cl crystal.

## Properties
* energy above the lowest structure with this stoichiometry: 519 meV/atom
* raw formation energy: 0.695 eV/atom

```
data_TaMo2Cl
_chemical_formula_sum 'Ta2 Mo4 Cl2'
_symmetry_space_group_name_H-M 'C m m m'
_symmetry_Int_Tables_number 65
_symmetry_space_group_name_Hall '-C 2 2'
_cell_length_a 5.0924
_cell_length_b 9.5051
_cell_length_c 2.7762
_cell_angle_alpha 90.00
_cell_angle_beta 90.00
_cell_angle_gamma 90.00
loop_
_atom_site_label
_atom_site_type_symbol
_atom_site_fract_x
_atom_site_fract_y
_atom_site_fract_z
Ta1 Ta 0.0000 0.0000 0.0000
Mo1 Mo 0.2500 0.2500 0.5000
Cl1 Cl 0.0000 0.5000 0.0000
```

***

Uncorrected energy readings, ordered: -0.1379 -0.1904 -0.2993 Ha/atom